Record 1
DFT (PBE) results for KSiS2N after structural relaxation.

Lattice parameters (Å, degrees): 5.5183 5.5183 4.7518 90.00 90.00 90.00
With the nearest neighbours (Å) after each atom.
Element x y z (fractional)
S1 0.0000 0.5000 0.0000  2 K 2.76
S2 0.5000 0.0000 0.0000  2 K 2.76
N1 0.0000 0.0000 0.5000  2 K 2.38
Si1 0.5000 0.5000 0.5000  8 S 3.64, 4 N 3.90
K1 0.0000 0.0000 0.0000  2 N 2.38

Summary:
space group	P4/mmm, No. 123
ΔE to the lowest computed polymorph	1928.9	meV/atom
E_form (uncorrected)	1.897	eV/atom

=====

Record 2
DFT (PBE) results for Ba3NaAg after structural relaxation.

Lattice parameters (Å, degrees): 6.5568 8.8950 8.8686 88.56 90.24 91.41
With the nearest neighbours (Å) after each atom.
Element x y z (fractional)
Na1 0.0137 0.7408 0.4361  1 Ag 2.97
Na2 0.0397 0.1651 0.8274  8 Ba 4.04-4.50
Ag1 0.1759 0.5250 0.2194  1 Na 2.97
Ag2 0.5309 0.6573 0.8331  6 Ba 3.28-3.37
Ba1 0.0313 0.6599 0.8769  3 Ag 3.30-3.38
Ba2 0.5384 0.3379 0.0351  2 Ag 3.32-3.38
Ba3 0.5193 0.4663 0.5165  2 Ag 3.32-3.50
Ba4 0.0332 0.1759 0.3300  1 Ag 3.35
Ba5 0.5307 0.9763 0.6404  1 Ag 3.28
Ba6 0.5180 0.8385 0.1617  2 Ag 3.37-3.56

Summary:
space group	P1, No. 1
ΔE to the lowest computed polymorph	46.5	meV/atom

=====

Record 3
DFT (PBE) results for LiRuCl6 after structural relaxation.

Lattice parameters (Å, degrees): 6.5344 6.7403 6.7403 121.75 102.18 102.18
With the nearest neighbours (Å) after each atom.
Element x y z (fractional)
Cl1 0.2603 0.4025 0.1224  1 Ru 2.34, 1 Li 2.46
Cl2 0.7397 0.5975 0.8776  1 Ru 2.34, 1 Li 2.46
Cl3 0.2603 0.1224 0.4025  1 Ru 2.34, 1 Li 2.46
Cl4 0.7397 0.8776 0.5975  1 Ru 2.34, 1 Li 2.46
Cl5 0.7060 0.2923 0.2923  1 Ru 2.29
Cl6 0.2940 0.7077 0.7077  1 Ru 2.29
Li1 0.0000 0.0000 0.0000  4 Cl 2.46
Ru1 0.5000 0.5000 0.5000  6 Cl 2.29-2.34

Summary:
space group	C2/m, No. 12
ΔE to the lowest computed polymorph	0.0	meV/atom
E_form (uncorrected)	-0.726	eV/atom

=====

Record 4
DFT (PBE) results for Li2CrIr after structural relaxation.

Lattice parameters (Å, degrees): 2.4952 2.4952 8.8224 90.00 90.00 90.00
With the nearest neighbours (Å) after each atom.
Element x y z (fractional)
Cr1 0.5000 0.5000 0.2500  4 Cr 2.50
Li1 0.0000 0.0000 0.5128  4 Li 2.50, 4 Ir 2.74
Li2 0.0000 0.0000 0.9872  4 Li 2.50, 4 Ir 2.74
Ir1 0.5000 0.5000 0.7500  4 Ir 2.50, 8 Li 2.74

Summary:
space group	P4/mmm, No. 123
ΔE to the lowest computed polymorph	297.1	meV/atom

=====

Record 5
DFT (PBE) results for TbHo4TmSe8 after structural relaxation.

Lattice parameters (Å, degrees): 8.3815 8.3815 8.3738 59.97 59.97 60.00
With the nearest neighbours (Å) after each atom.
Element x y z (fractional)
Se1 0.7592 0.7592 0.2548  3 Ho 2.72-2.88, 1 Tm 2.85
Se2 0.7592 0.2268 0.2548  3 Ho 2.72-2.88, 1 Tm 2.85
Se3 0.7569 0.7569 0.7292  4 Ho 2.71-2.88
Se4 0.2420 0.2420 0.2741  1 Tb 2.73, 3 Ho 2.87
Se5 0.2268 0.7592 0.2548  3 Ho 2.72-2.88, 1 Tm 2.85
Se6 0.2400 0.7760 0.7440  1 Tb 2.74, 1 Tm 2.85, 2 Ho 2.87
Se7 0.2400 0.2400 0.7440  1 Tb 2.74, 1 Tm 2.85, 2 Ho 2.87
Se8 0.7760 0.2400 0.7440  1 Tb 2.74, 1 Tm 2.85, 2 Ho 2.87
Ho1 0.5007 0.9997 0.4998  6 Se 2.87-2.88
Ho2 0.9997 0.5007 0.4998  6 Se 2.87-2.88
Ho3 0.9997 0.9997 0.4998  6 Se 2.87-2.88
Ho4 0.6246 0.6246 0.1263  4 Se 2.71-2.72
Tm1 0.9999 0.9999 0.0004  6 Se 2.85
Tb1 0.3753 0.3753 0.8741  4 Se 2.73-2.74

Summary:
space group	R3m, No. 160
E_form (uncorrected)	-1.703	eV/atom

=====

Record 6
DFT (PBE) results for Pa4Fe2Sn5 after structural relaxation.

Lattice parameters (Å, degrees): 3.4661 7.7890 9.4678 94.28 90.00 90.00
With the nearest neighbours (Å) after each atom.
Element x y z (fractional)
Pa1 0.5000 0.8122 0.1579  2 Fe 2.67
Pa2 0.5000 0.1878 0.8421  2 Fe 2.67
Pa3 0.5000 0.2025 0.4413  4 Fe 2.81-2.84
Pa4 0.5000 0.7975 0.5587  4 Fe 2.81-2.84
Sn1 0.0000 0.4636 0.6702  1 Fe 3.01, 3 Sn 3.11-3.31, 6 Pa 3.28-3.36
Sn2 0.0000 0.8385 0.8551  1 Fe 2.84, 1 Sn 3.06
Sn3 0.0000 0.5364 0.3298  1 Fe 3.01, 3 Sn 3.11-3.31, 6 Pa 3.28-3.36
Sn4 0.0000 0.5000 0.0000  4 Sn 3.06-3.11, 4 Pa 3.26
Sn5 0.0000 0.1615 0.1449  1 Fe 2.84, 1 Sn 3.06
Fe1 0.0000 0.9243 0.3580  6 Pa 2.67-2.84, 1 Sn 2.84, 1 Fe 2.86
Fe2 0.0000 0.0757 0.6420  6 Pa 2.67-2.84, 1 Sn 2.84, 1 Fe 2.86

Summary:
space group	P2/m, No. 10

=====

Record 7
DFT (PBE) results for TmZn2SiPd4 after structural relaxation.

Lattice parameters (Å, degrees): 4.4987 4.4987 7.6910 72.99 72.99 60.00
With the nearest neighbours (Å) after each atom.
Element x y z (fractional)
Si1 0.5000 0.5000 0.5000  2 Pd 2.38
Zn1 0.7436 0.7436 0.7693  8 Pd 2.63-2.91
Zn2 0.2564 0.2564 0.2307  8 Pd 2.63-2.91
Pd1 0.8659 0.8659 0.4022  4 Zn 2.66-2.88, 3 Si 2.69, 1 Tm 2.91, 3 Pd 2.96
Pd2 0.1341 0.1341 0.5978  4 Zn 2.66-2.88, 3 Si 2.69, 1 Tm 2.91, 3 Pd 2.96
Pd3 0.3904 0.3904 0.8289  1 Si 2.38, 3 Zn 2.63
Pd4 0.6096 0.6096 0.1711  1 Si 2.38, 3 Zn 2.63
Tm1 0.0000 0.0000 0.0000  8 Pd 2.88-2.91, 6 Zn 3.09

Summary:
space group	R-3m, No. 166
E_form (uncorrected)	-0.653	eV/atom

=====

Record 8
DFT (PBE) results for Hf2ZrPaAs4 after structural relaxation.

Lattice parameters (Å, degrees): 3.9477 6.7650 6.7328 70.15 90.00 90.00
With the nearest neighbours (Å) after each atom.
Element x y z (fractional)
Hf1 0.0000 0.0000 0.0000  6 As 2.74-2.75
Hf2 0.5000 0.0000 0.5000  6 As 2.70
As1 0.0000 0.7642 0.7392  3 Hf 2.70-2.74, 1 Zr 2.78, 2 Pa 2.84
As2 0.5000 0.2412 0.7480  3 Hf 2.70-2.75, 2 Zr 2.79, 1 Pa 2.82
As3 0.0000 0.2358 0.2608  3 Hf 2.70-2.74, 1 Zr 2.78, 2 Pa 2.84
As4 0.5000 0.7588 0.2520  3 Hf 2.70-2.75, 2 Zr 2.79, 1 Pa 2.82
Zr1 0.0000 0.5000 0.5000  6 As 2.78-2.79
Pa1 0.5000 0.5000 0.0000  6 As 2.82-2.84

Summary:
space group	P2/m, No. 10

=====

Record 9
DFT (PBE) results for CaThPd3 after structural relaxation.

Lattice parameters (Å, degrees): 4.7514 5.8465 8.2383 90.00 90.00 90.00
With the nearest neighbours (Å) after each atom.
Element x y z (fractional)
Ca1 0.5000 0.5000 0.4552  3 Pd 2.89-3.00
Ca2 0.0000 0.0000 0.5448  3 Pd 2.89-3.00
Pd1 0.5000 0.5000 0.1044  1 Ca 2.89, 4 Th 2.92-2.96, 6 Pd 2.95-3.15
Pd2 0.0000 0.7404 0.2305  4 Pd 2.81-3.04, 3 Th 2.99-3.14, 1 Ca 3.00
Pd3 0.5000 0.2404 0.7695  4 Pd 2.81-3.04, 3 Th 2.99-3.14, 1 Ca 3.00
Pd4 0.5000 0.7596 0.7695  4 Pd 2.81-3.04, 3 Th 2.99-3.14, 1 Ca 3.00
Pd5 0.0000 0.2596 0.2305  4 Pd 2.81-3.04, 3 Th 2.99-3.14, 1 Ca 3.00
Pd6 0.0000 0.0000 0.8956  1 Ca 2.89, 4 Th 2.92-2.96, 6 Pd 2.95-3.15
Th1 0.5000 0.0000 0.1106  10 Pd 2.92-3.14
Th2 0.0000 0.5000 0.8894  10 Pd 2.92-3.14

Summary:
space group	Pmmn, No. 59
ΔE to the lowest computed polymorph	0.0	meV/atom

=====

Record 10
DFT (PBE) results for RbLa3Cl after structural relaxation.

Lattice parameters (Å, degrees): 5.8769 5.8769 5.8769 90.00 90.00 90.00
With the nearest neighbours (Å) after each atom.
Element x y z (fractional)
La1 0.5000 0.0000 0.0000  2 Rb 2.94
La2 0.0000 0.0000 0.5000  2 Rb 2.94
La3 0.0000 0.5000 0.0000  2 Rb 2.94
Rb1 0.0000 0.0000 0.0000  6 La 2.94
Cl1 0.5000 0.5000 0.5000  12 La 4.16

Summary:
space group	Pm-3m, No. 221
ΔE to the lowest computed polymorph	1170.0	meV/atom
E_form (uncorrected)	0.924	eV/atom

=====

Record 11
DFT (PBE) results for NaAcSi after structural relaxation.

Lattice parameters (Å, degrees): 3.9744 4.3351 12.5658 80.07 90.00 90.00
With the nearest neighbours (Å) after each atom.
Element x y z (fractional)
Na1 0.2500 0.2902 0.4196  6 Na 3.55-3.97
Na2 0.7500 0.7098 0.5804  6 Na 3.55-3.97
Ac1 0.2500 0.9255 0.1491  6 Si 3.16-3.34
Ac2 0.7500 0.0745 0.8509  6 Si 3.16-3.34
Si1 0.7500 0.4721 0.0557  2 Si 2.42
Si2 0.2500 0.5279 0.9443  2 Si 2.42

Summary:
space group	Cmcm, No. 63
ΔE to the lowest computed polymorph	58.1	meV/atom
E_form (uncorrected)	-0.270	eV/atom

=====

Record 12
DFT (PBE) results for ErCuSnTe3 after structural relaxation.

Lattice parameters (Å, degrees): 4.2484 9.0393 9.5688 104.55 90.00 90.00
With the nearest neighbours (Å) after each atom.
Element x y z (fractional)
Er1 0.2500 0.6752 0.1692  6 Te 3.01-3.09
Er2 0.7500 0.3248 0.8308  6 Te 3.01-3.09
Sn1 0.2500 0.1845 0.2385  7 Te 3.25-3.47, 1 Cu 3.59
Sn2 0.7500 0.8155 0.7615  7 Te 3.25-3.47, 1 Cu 3.59
Te1 0.7500 0.9058 0.1357  1 Cu 2.74, 2 Er 3.05
Te2 0.7500 0.2297 0.5060  3 Cu 2.67-2.71
Te3 0.2500 0.7703 0.4940  3 Cu 2.67-2.71
Te4 0.7500 0.4302 0.1642  3 Er 3.06-3.09, 2 Sn 3.28
Te5 0.2500 0.0942 0.8643  1 Cu 2.74, 2 Er 3.05
Te6 0.2500 0.5698 0.8358  3 Er 3.06-3.09, 2 Sn 3.28
Cu1 0.7500 0.9251 0.4257  4 Te 2.67-2.74, 2 Cu 2.72
Cu2 0.2500 0.0749 0.5743  4 Te 2.67-2.74, 2 Cu 2.72

Summary:
space group	P2_1/m, No. 11
E_form (uncorrected)	-0.644	eV/atom

=====

Number 1: total DFT energy (no corrections) -2.723 eV/atom. Number 2: total DFT energy (no corrections) -2.037 eV/atom. Number 3: total DFT energy (no corrections) -3.509 eV/atom. Number 4: total DFT energy (no corrections) -5.260 eV/atom. Number 5: total DFT energy (no corrections) -5.652 eV/atom. Number 6: total DFT energy (no corrections) -7.088 eV/atom. Number 7: total DFT energy (no corrections) -4.804 eV/atom. Number 8: total DFT energy (no corrections) -8.083 eV/atom. Number 9: total DFT energy (no corrections) -5.799 eV/atom. Number 10: total DFT energy (no corrections) -2.595 eV/atom. Number 11: total DFT energy (no corrections) -3.886 eV/atom. Number 12: total DFT energy (no corrections) -4.325 eV/atom.